Crystalline TmLuGa2Fe4 at its relaxed geometry. Source: OQMD, functional PBE-GGA.

Values from the calculation:
Size of the total moment: 7.18 μB per formula unit
Total DFT energy (no corrections): -51.0 eV/f.u.
SG: Pmm2, No. 25

Cell: 3.930 4.901 6.733 Å, 90.00 90.00 90.00°
Sites, in units of the cell vectors:
Tm1 0.000 0.000 0.000
Lu1 0.000 0.500 0.624
Ga1 0.500 0.000 0.651
Ga2 0.500 0.500 0.975
Fe1 0.000 0.000 0.411
Fe2 0.000 0.500 0.217
Fe3 0.500 0.250 0.314
Fe4 0.500 0.750 0.314